# K2ReRu (PBE-GGA, relaxed)
data_K2ReRu
_chemical_formula_sum 'K2 Re1 Ru1'
_space_group_name_H-M_alt 'P 1'
_space_group_IT_number 1
_cell_length_a 6.4753
_cell_length_b 6.4753
_cell_length_c 6.4753
_cell_angle_alpha 145.93
_cell_angle_beta 125.48
_cell_angle_gamma 65.87
loop_
_space_group_symop_operation_xyz
'x,y,z'
loop_
_atom_site_label
_atom_site_type_symbol
_atom_site_fract_x
_atom_site_fract_y
_atom_site_fract_z
K1 K 0.0000 0.0000 0.0000
K2 K 0.7076 0.2076 0.5000
Re1 Re 0.4077 0.4077 0.0000
Ru1 Ru 0.2899 0.7899 0.5000
# Final energy, eV per atom: -4.86
# Calculated formation energy, eV per atom: 1.117
# Excess energy over the best structure of this formula in the dataset, eV/atom: 0.3507
# N(E_F), states/eV/atom: 0.9021
# Magnetization, Bohr magnetons per cell: 0.00